Density functional theory data (PBE with a Hubbard U) for a relaxed structure of LiCr2O3.

```
LiCr2O3
1.0
2.649 -4.551 0.000
2.649 4.551 0.000
-1.339 0.000 10.010
Li Cr O
4 8 12
Direct
0.066 0.934 0.750
0.262 0.738 0.250
0.738 0.262 0.750
0.934 0.066 0.250
0.000 0.500 0.500
0.166 0.331 0.002
0.331 0.166 0.502
0.404 0.596 0.750
0.500 0.000 0.000
0.596 0.404 0.250
0.669 0.834 0.498
0.834 0.669 0.998
0.021 0.184 0.608
0.130 0.627 0.887
0.184 0.021 0.108
0.339 0.463 0.379
0.373 0.870 0.613
0.463 0.339 0.879
0.537 0.661 0.121
0.627 0.130 0.387
0.661 0.537 0.621
0.816 0.979 0.892
0.870 0.373 0.113
0.979 0.816 0.392
```

Properties
For the offset from the most stable computed form, the calculation gives 4 meV per atom. The value obtained for the calculated density is 4.37 g cm⁻³. The calculation puts the calculated total energy at -7.15 eV per atom. The total magnetic moment comes out at 7.00 μB per formula unit.